# 1
Density functional theory data (GGA-PBE) for a relaxed DyCu2Pd4 crystal.

Magnetic moment, μB/cell: 0.00
E above lowest polymorph, eV per atom: 0.000

a b c (Å): 5.376 5.204 5.376
angles (deg): 119.35 105.18 60.65
Element x y z (fractional)
Dy 0.000 0.000 0.000
Pd 0.406 0.299 0.004
Pd 0.996 0.299 0.594
Pd 0.004 0.701 0.406
Pd 0.594 0.701 0.996
Cu 0.500 0.246 0.500
Cu 0.500 0.754 0.500



# 2
Density functional theory data (GGA-PBE) for a relaxed Ce4TlTc2 crystal.

Magnetic moment, μB/cell: 1.16
E_tot, eV/atom: -6.772

a b c (Å): 5.964 7.161 9.429
angles (deg): 114.49 107.58 85.82
Last column: magnetic moment on the atom in μB.
Element x y z (fractional)
Tc 0.231 0.376 0.751  -0.02
Ce 0.744 0.550 0.237  0.08
Tl 0.064 0.028 0.987  0.00
Tc 0.740 0.382 0.768  -0.03
Ce 0.510 0.144 0.874  0.04
Ce 0.904 0.013 0.616  0.35
Ce 0.372 0.252 0.486  0.03
Ce 0.899 0.603 0.624  0.34
Ce 0.854 0.076 0.282  0.07
Tl 0.342 0.753 0.467  0.00
Ce 0.526 0.731 0.892  0.03
Tc 0.473 0.943 0.232  -0.01
Tc 0.458 0.343 0.232  -0.01
Ce 0.133 0.559 0.052  0.08